First-principles (GGA-PBE) data for a geometry-optimized Pr2NiSn4Pd structure, as listed in OQMD via LeMat-Bulk.

Lattice parameters (Å, degrees): 4.624 4.493 18.713 90.00 90.00 90.00
Fractional coordinates of all 16 atoms:
1 Pr 0.000 0.000 0.000
2 Pr 0.000 0.500 0.500
3 Pr 0.500 0.000 0.215
4 Pr 0.500 0.500 0.715
5 Ni 0.000 0.000 0.788
6 Ni 0.000 0.500 0.288
7 Sn 0.000 0.000 0.355
8 Sn 0.000 0.000 0.655
9 Sn 0.000 0.500 0.155
10 Sn 0.000 0.500 0.855
11 Sn 0.500 0.000 0.568
12 Sn 0.500 0.000 0.851
13 Sn 0.500 0.500 0.068
14 Sn 0.500 0.500 0.351
15 Pd 0.500 0.000 0.429
16 Pd 0.500 0.500 0.929

Output
Total DFT energy (no corrections): -5.2075 eV per atom
Total moment: 0.00 μB/atom


First-principles (GGA-PBE) data for a geometry-optimized KTbFeS3 structure, as listed in OQMD via LeMat-Bulk.

Lattice parameters (Å, degrees): 9.734 3.976 14.625 90.00 90.00 90.00
Fractional coordinates of all 24 atoms:
1 K 0.037 0.250 0.176
2 K 0.463 0.750 0.676
3 K 0.537 0.250 0.324
4 K 0.963 0.750 0.824
5 Tb 0.172 0.750 0.439
6 Tb 0.328 0.250 0.939
7 Tb 0.672 0.750 0.061
8 Tb 0.828 0.250 0.561
9 Fe 0.153 0.250 0.630
10 Fe 0.347 0.750 0.130
11 Fe 0.653 0.250 0.870
12 Fe 0.847 0.750 0.370
13 S 0.024 0.750 0.605
14 S 0.179 0.750 0.020
15 S 0.220 0.250 0.775
16 S 0.280 0.750 0.275
17 S 0.321 0.250 0.520
18 S 0.476 0.250 0.105
19 S 0.524 0.750 0.895
20 S 0.679 0.750 0.480
21 S 0.720 0.250 0.725
22 S 0.780 0.750 0.225
23 S 0.821 0.250 0.980
24 S 0.976 0.250 0.395

Output
Total DFT energy (no corrections): -5.6827 eV per atom
Total moment: 0.67 μB/atom
Energy above the lowest structure with this stoichiometry: 65 meV per atom


First-principles (GGA-PBE) data for a geometry-optimized NdAl2CuPd structure, as listed in OQMD via LeMat-Bulk.

Lattice parameters (Å, degrees): 4.239 4.239 10.400 90.00 90.00 90.00
Fractional coordinates of all 10 atoms:
1 Nd 0.250 0.250 0.246
2 Nd 0.750 0.750 0.754
3 Al 0.250 0.250 0.632
4 Al 0.250 0.750 0.000
5 Al 0.750 0.250 0.000
6 Al 0.750 0.750 0.368
7 Cu 0.250 0.250 0.870
8 Cu 0.750 0.750 0.130
9 Pd 0.250 0.750 0.500
10 Pd 0.750 0.250 0.500

Output
Total DFT energy (no corrections): -4.8599 eV per atom
Total moment: 0.00 μB/atom


First-principles (GGA-PBE) data for a geometry-optimized HfMoPt structure, as listed in OQMD via LeMat-Bulk.

Lattice parameters (Å, degrees): 6.243 6.243 6.243 90.00 90.00 90.00
Fractional coordinates of all 12 atoms:
1 Hf 0.000 0.000 0.000
2 Hf 0.000 0.500 0.500
3 Hf 0.500 0.000 0.500
4 Hf 0.500 0.500 0.000
5 Mo 0.000 0.000 0.500
6 Mo 0.000 0.500 0.000
7 Mo 0.500 0.000 0.000
8 Mo 0.500 0.500 0.500
9 Pt 0.250 0.250 0.250
10 Pt 0.250 0.750 0.750
11 Pt 0.750 0.250 0.750
12 Pt 0.750 0.750 0.250

Output
Total DFT energy (no corrections): -8.8803 eV per atom
Total moment: 0.02 μB/atom
E_form: 0.07 eV/atom
Energy above the lowest structure with this stoichiometry: 0 meV per atom


First-principles (GGA-PBE) data for a geometry-optimized Lu2AsN structure, as listed in OQMD via LeMat-Bulk.

Lattice parameters (Å, degrees): 3.606 3.606 12.602 90.00 90.00 120.00
Fractional coordinates of all 8 atoms:
1 Lu 0.333 0.667 0.102
2 Lu 0.333 0.667 0.398
3 Lu 0.667 0.333 0.602
4 Lu 0.667 0.333 0.898
5 As 0.333 0.667 0.750
6 As 0.667 0.333 0.250
7 N 0.000 0.000 0.000
8 N 0.000 0.000 0.500

Output
Total DFT energy (no corrections): -6.9275 eV per atom
Total moment: 0.00 μB/atom


First-principles (GGA-PBE) data for a geometry-optimized NdSnAsO structure, as listed in OQMD via LeMat-Bulk.

Lattice parameters (Å, degrees): 4.245 4.245 10.000 90.00 90.00 90.00
Fractional coordinates of all 8 atoms:
1 Nd 0.250 0.250 0.108
2 Nd 0.750 0.750 0.892
3 Sn 0.250 0.750 0.500
4 Sn 0.750 0.250 0.500
5 As 0.250 0.250 0.722
6 As 0.750 0.750 0.278
7 O 0.250 0.750 0.000
8 O 0.750 0.250 0.000

Output
Total DFT energy (no corrections): -6.0346 eV per atom
Total moment: 0.00 μB/atom
Energy above the lowest structure with this stoichiometry: 0 meV per atom